# 1
DFT (PBE-GGA) results for an optimized crystal structure of HoMgPt6.

Unit cell a=4.049 b=4.049 c=8.026 alpha=90.00 beta=90.00 gamma=90.00
Element x y z (fractional)
Ho: 0.000 0.000 0.000
Mg: 0.000 0.000 0.500
Pt: 0.000 0.500 0.261
Pt: 0.000 0.500 0.739
Pt: 0.500 0.000 0.261
Pt: 0.500 0.000 0.739
Pt: 0.500 0.500 0.000
Pt: 0.500 0.500 0.500

energy of formation from the pure elements = -0.8183 eV per atom
magnetic moment = 0.0 μB/f.u.
crystal system = tetragonal
space-group type = P4/mmm (123)

=====

# 2
DFT (PBE-GGA) results for an optimized crystal structure of Rb2BeVSe4.

Unit cell a=14.244 b=12.721 c=7.567 alpha=85.18 beta=62.86 gamma=31.96
Element x y z (fractional)
Rb: 0.054 0.054 0.696
Rb: 0.304 0.304 0.946
Rb: 0.696 0.696 0.054
Rb: 0.946 0.946 0.304
Be: 0.125 0.125 0.125
Be: 0.875 0.875 0.875
V: 0.375 0.375 0.375
V: 0.625 0.625 0.625
Se: 0.030 0.323 0.404
Se: 0.257 0.596 0.677
Se: 0.323 0.030 0.743
Se: 0.404 0.743 0.030
Se: 0.596 0.257 0.970
Se: 0.677 0.970 0.257
Se: 0.743 0.404 0.323
Se: 0.970 0.677 0.596

E_form (uncorrected) = -962 meV per atom
magnetic moment = 1.0 μB/f.u.
crystal system = orthorhombic
space-group type = Fddd (70)